Record 1
Material: Ho3ThAu4
Method: DFT, PBE
State: optimized geometry

Results
For the formation energy, the calculation gives -6.23 eV/f.u. The calculation puts the density at 13.19 g/cm³. Its symmetry is No. 166.

abc: 8.9883 8.9883 8.9883
angles: 32.91 32.91 32.91
With the nearest neighbours (Å) after each atom.
Sites, in units of the cell vectors:
Ho 0.0000 0.0000 0.0000  8 Au 3.06-3.11
Ho 0.2525 0.2525 0.2525  8 Au 3.07-3.37
Ho 0.7475 0.7475 0.7475  8 Au 3.07-3.37
Th 0.5000 0.5000 0.5000  8 Au 3.17-3.24
Au 0.1201 0.1201 0.1201  5 Ho 3.06-3.37, 3 Th 3.17
Au 0.3729 0.3729 0.3729  7 Ho 3.07-3.12, 1 Th 3.24
Au 0.6271 0.6271 0.6271  7 Ho 3.07-3.12, 1 Th 3.24
Au 0.8799 0.8799 0.8799  5 Ho 3.06-3.37, 3 Th 3.17

Record 2
Material: HoThTlAu
Method: DFT, PBE
State: optimized geometry

Results
As for the distance to the lowest polymorph of the same formula: 0 meV/atom. For the formation energy, the calculation gives -1.94 eV/f.u. The calculation puts the density at 12.65 g/cm³. Its symmetry is No. 99.

abc: 3.5793 3.5793 8.1823
angles: 90.00 90.00 90.00
With the nearest neighbours (Å) after each atom.
Sites, in units of the cell vectors:
Ho 0.0000 0.0000 0.0000  4 Au 3.02, 4 Tl 3.31
Th 0.0000 0.0000 0.4596  4 Au 3.30, 4 Tl 3.41, 4 Th 3.58
Tl 0.5000 0.5000 0.7395  4 Ho 3.31, 4 Th 3.41, 4 Tl 3.58
Au 0.5000 0.5000 0.2012  4 Ho 3.02, 4 Th 3.30